No. 1
# LaScPb

A relaxed structure of LaScPb (GGA-PBEsol, Alexandria via LeMat-Bulk).

Properties
The calculation puts the uncorrected energy at -5.46 eV/atom. As for the total magnetization: 0.0 μB/f.u. Its calculated formation energy is -0.14 eV/atom.

Cell lengths 3.4601, 3.4601, 8.1468 Å; angles 90.00, 90.00, 120.00 degrees
Space group P3m1 (No. 156)
Unique sites:
1 La 0.0000 0.0000 0.0000
2 Sc 0.6667 0.3333 0.3471
3 Pb 0.3333 0.6667 0.6490


No. 2
# EuAl3Pd2

A relaxed structure of EuAl3Pd2 (GGA-PBEsol, Alexandria via LeMat-Bulk).

Properties
The calculation puts the uncorrected energy at -6.56 eV/atom. As for the total magnetization: 6.9 μB/f.u. Its calculated formation energy is -0.76 eV/atom.

Cell lengths 5.4464, 5.4464, 4.1684 Å; angles 90.00, 90.00, 120.00 degrees
Space group P6/mmm (No. 191)
Unique sites:
1 Eu 0.0000 0.0000 0.0000
2 Al 0.0000 0.5000 0.5000
3 Pd 0.3333 0.6667 0.0000


No. 3
# Hf2Mg

A relaxed structure of Hf2Mg (GGA-PBEsol, Alexandria via LeMat-Bulk).

Properties
The calculation puts the uncorrected energy at -6.16 eV/atom. As for the total magnetization: 0.6 μB/f.u. Its calculated formation energy is 1.41 eV/atom.

Cell lengths 5.536, 5.536, 4.977 Å; angles 90.00, 90.00, 90.00 degrees
Space group P4_2/mnm (No. 136)
Unique sites:
1 Hf 0.169 0.169 0.000
2 Mg 0.000 0.000 0.500


No. 4
# Ag2Hg

A relaxed structure of Ag2Hg (GGA-PBEsol, Alexandria via LeMat-Bulk).

Properties
The calculation puts the uncorrected energy at -2.38 eV/atom. As for the total magnetization: 0.0 μB/f.u. Its calculated formation energy is 0.02 eV/atom.

Cell lengths 10.759, 2.979, 6.950 Å; angles 90.00, 104.93, 90.00 degrees
Space group Cm (No. 8)
Unique sites:
1 Ag 0.000 0.000 0.000
2 Ag 0.057 0.000 0.609
3 Ag 0.169 0.500 0.338
4 Ag 0.337 0.000 0.668
5 Hg 0.218 0.500 0.934
6 Hg 0.393 0.000 0.285


| no. | volume (Å³ per cell) | calculated density (g cm⁻³) |
| --- | --- | --- |
| 1 | 84.5 | 7.69 |
| 2 | 107.1 | 6.91 |
| 3 | 152.6 | 8.30 |
| 4 | 215.2 | 12.85 |